Here is a geometry-optimized Cs3ThU3Te8 structure from the Alexandria database. Energies are from PBE.

DOS at the Fermi energy: 1.00 states/eV/atom
formation energy from raw total energies: -0.912 eV per atom
density: 6.03 Mg/m³

Cell lengths 15.736, 9.036, 10.558 Å; angles 90.00, 119.84, 90.00 degrees
Space group C2/m (No. 12)
Unique sites:
Cs  0.000  0.000  0.000 x2
Cs  0.250  0.250  0.000 x4
Th  0.000  0.000  0.500 x2
U  0.000  0.500  0.500 x2
U  0.250  0.250  0.500 x4
Te  0.020  0.251  0.307 x8
Te  0.231  0.500  0.693 x4
Te  0.232  0.000  0.692 x4



Here is a geometry-optimized HfZrTa2C4 structure from the Alexandria database. Energies are from PBE.

DOS at the Fermi energy: 0.30 states/eV/atom
E_form: -0.7678 eV/atom
density: 11.78 Mg/m³

Cell lengths 5.606, 3.223, 5.625 Å; angles 90.00, 109.46, 90.00 degrees
Space group P2/m (No. 10)
Unique sites:
Hf  0.000  0.000  0.000 x1
Zr  0.500  0.500  0.000 x1
Ta  0.000  0.500  0.500 x1
Ta  0.500  0.000  0.500 x1
C  0.243  0.000  0.737 x2
C  0.252  0.500  0.261 x2



Here is a geometry-optimized Ac2PmSmSe6 structure from the Alexandria database. Energies are from PBE.

DOS at the Fermi energy: 0.00 states/eV/atom
formation energy from raw total energies: -1.917 eV per atom
density: 6.01 Mg/m³

Cell lengths 7.6662, 7.6662, 19.9032 Å; angles 90.00, 90.00, 120.00 degrees
Space group R3 (No. 146, hexagonal axes)
Unique sites:
Ac  0.0000  0.0000  0.0000 x3
Ac  0.0000  0.0000  0.4998 x3
Pm  0.0000  0.0000  0.2913 x3
Sm  0.0000  0.0000  0.7915 x3
Se  0.0229  0.6347  0.0555 x9
Se  0.0247  0.3889  0.5553 x9



Here is a geometry-optimized CuPd3Au4 structure from the Alexandria database. Energies are from PBE.

DOS at the Fermi energy: 0.51 states/eV/atom
E_form: -0.0811 eV/atom
density: 14.83 Mg/m³

Cell lengths 8.920, 4.074, 8.095 Å; angles 90.00, 117.01, 90.00 degrees
Space group C2/m (No. 12)
Unique sites:
Cu  0.000  0.000  0.000 x2
Pd  0.000  0.000  0.500 x2
Pd  0.001  0.500  0.244 x4
Au  0.249  0.000  0.371 x4
Au  0.249  0.000  0.877 x4



Here is a geometry-optimized CaZnHg2 structure from the Alexandria database. Energies are from PBE.

DOS at the Fermi energy: 0.53 states/eV/atom
E_form: -0.3036 eV/atom
density: 8.61 Mg/m³

Cell lengths 4.578, 17.439, 9.796 Å; angles 90.00, 90.00, 90.00 degrees
Space group Cmcm (No. 63)
Unique sites:
Ca  0.000  0.000  0.000 x4
Ca  0.000  0.198  0.250 x4
Zn  0.000  0.357  0.522 x8
Hg  0.000  0.195  0.595 x8
Hg  0.000  0.401  0.250 x4
Hg  0.000  0.437  0.750 x4



Here is a geometry-optimized CuPb2F7 structure from the Alexandria database. Energies are from PBE.

formation energy from raw total energies: -1.953 eV per atom
density: 6.65 Mg/m³

Cell lengths 12.233, 7.957, 8.628 Å; angles 90.00, 133.43, 90.00 degrees
Space group C2/c (No. 15)
Unique sites:
Cu  0.000  0.126  0.250 x4
Pb  0.167  0.398  0.764 x8
F  0.000  0.413  0.250 x4
F  0.102  0.122  0.532 x8
F  0.128  0.281  0.977 x8
F  0.181  0.102  0.335 x8



Here is a geometry-optimized Na2Cd2Ga structure from the Alexandria database. Energies are from PBE.

DOS at the Fermi energy: 0.33 states/eV/atom
E_form: -0.0702 eV/atom
density: 4.56 Mg/m³

Cell lengths 10.889, 5.012, 9.393 Å; angles 90.00, 104.67, 90.00 degrees
Space group C2/m (No. 12)
Unique sites:
Na  0.054  0.000  0.358 x4
Na  0.173  0.000  0.055 x4
Cd  0.006  0.500  0.850 x4
Cd  0.136  0.500  0.600 x4
Ga  0.242  0.500  0.329 x4



Here is a geometry-optimized Rb2SiTe3 structure from the Alexandria database. Energies are from PBE.

formation energy from raw total energies: -0.641 eV per atom
density: 3.44 Mg/m³

Cell lengths 7.334, 17.174, 17.851 Å; angles 90.00, 90.68, 90.00 degrees
Space group C2/c (No. 15)
Unique sites:
Rb  0.183  0.188  0.353 x8
Rb  0.223  0.445  0.065 x8
Si  0.232  0.469  0.331 x8
Te  0.000  0.021  0.250 x4
Te  0.000  0.389  0.250 x4
Te  0.142  0.397  0.866 x8
Te  0.200  0.124  0.565 x8



Here is a geometry-optimized Pm3Pu2Se8 structure from the Alexandria database. Energies are from PBE.

DOS at the Fermi energy: 2.12 states/eV/atom
formation energy from raw total energies: -1.529 eV per atom
density: 6.29 Mg/m³

Cell lengths 14.790, 8.332, 7.089 Å; angles 90.00, 109.91, 90.00 degrees
Space group C2/m (No. 12)
Unique sites:
Pm  0.000  0.000  0.000 x2
Pm  0.000  0.260  0.500 x4
Pu  0.240  0.500  0.163 x4
Se  0.110  0.500  0.375 x4
Se  0.121  0.000  0.428 x4
Se  0.128  0.235  0.917 x8



Here is a geometry-optimized CeTm5Ru4 structure from the Alexandria database. Energies are from PBE.

DOS at the Fermi energy: 0.70 states/eV/atom
E_form: -0.3777 eV/atom
density: 10.13 Mg/m³

Cell lengths 14.082, 4.866, 6.665 Å; angles 90.00, 94.34, 90.00 degrees
Space group C2/m (No. 12)
Unique sites:
Ce  0.000  0.000  0.000 x2
Tm  0.000  0.000  0.500 x2
Tm  0.167  0.500  0.511 x4
Tm  0.170  0.500  0.009 x4
Ru  0.000  0.500  0.245 x4
Ru  0.155  0.000  0.242 x4



Here is a geometry-optimized CaTlCoSn2 structure from the Alexandria database. Energies are from PBE.

DOS at the Fermi energy: 0.88 states/eV/atom
E_form: -0.0632 eV/atom
density: 7.05 Mg/m³

Cell lengths 4.997, 4.997, 5.099 Å; angles 90.00, 90.00, 90.00 degrees
Space group P4/mmm (No. 123)
Unique sites:
Ca  0.000  0.000  0.000 x1
Tl  0.500  0.500  0.000 x1
Co  0.500  0.500  0.500 x1
Sn  0.000  0.500  0.500 x2



Here is a geometry-optimized Y2Os2W structure from the Alexandria database. Energies are from PBE.

DOS at the Fermi energy: 0.87 states/eV/atom
E_form: -0.0537 eV/atom
density: 11.76 Mg/m³

Cell lengths 6.642, 6.642, 4.752 Å; angles 90.00, 90.00, 90.00 degrees
Space group P4/mbm (No. 127)
Unique sites:
Y  0.180  0.320  0.000 x4
Os  0.131  0.631  0.500 x4
W  0.000  0.000  0.500 x2



| no. | E_tot (eV/atom) | calculated volume (A^3/atom) |
| --- | --- | --- |
| 1 | -5.510 | 43.4 |
| 2 | -10.656 | 12.0 |
| 3 | -5.776 | 33.8 |
| 4 | -4.179 | 16.4 |
| 5 | -1.273 | 24.4 |
| 6 | -4.414 | 15.2 |
| 7 | -1.569 | 24.8 |
| 8 | -3.438 | 46.8 |
| 9 | -6.974 | 31.6 |
| 10 | -6.917 | 22.8 |
| 11 | -3.959 | 25.5 |
| 12 | -9.722 | 21.0 |